# Cs6K2Rb3 (PBE, relaxed)
# formation enthalpy at 0 K: 0.025 eV per atom
data_Cs6K2Rb3
_chemical_formula_sum 'Cs12 K4 Rb6'
_space_group_name_H-M_alt 'C 1 2/m 1'
_space_group_IT_number 12
_cell_length_a 16.117
_cell_length_b 9.873
_cell_length_c 14.210
_cell_angle_alpha 90.00
_cell_angle_beta 96.53
_cell_angle_gamma 90.00
loop_
_space_group_symop_operation_xyz
'x,y,z'
'-x,-y,-z'
'-x,y,-z'
'x,-y,z'
'x+1/2,y+1/2,z'
'-x+1/2,-y+1/2,-z'
'-x+1/2,y+1/2,-z'
'x+1/2,-y+1/2,z'
loop_
_atom_site_label
_atom_site_fract_x
_atom_site_fract_y
_atom_site_fract_z
Cs1 0.156 0.000 0.490
Cs2 0.240 0.253 0.820
K1 0.003 0.000 0.158
Rb1 0.000 0.500 0.000
Rb2 0.026 0.500 0.345

---

# Pm2Er5In (PBE, relaxed)
# relative energy among the computed polymorphs: 2 meV/atom
# formation enthalpy at 0 K: -0.103 eV per atom
data_Pm2Er5In
_chemical_formula_sum 'Pm4 Er10 In2'
_space_group_name_H-M_alt 'I 4/m m m'
_space_group_IT_number 139
_space_group_name_Hall '-I 4 2'
_cell_length_a 4.890
_cell_length_b 4.890
_cell_length_c 20.170
_cell_angle_alpha 90.00
_cell_angle_beta 90.00
_cell_angle_gamma 90.00
loop_
_atom_site_label
_atom_site_fract_x
_atom_site_fract_y
_atom_site_fract_z
Pm1 0.000 0.000 0.244
Er1 0.000 0.000 0.000
Er2 0.000 0.500 0.119
In1 0.000 0.000 0.500

---

# TaMoAu2 (PBE, relaxed)
# relative energy among the computed polymorphs: 570 meV/atom
# formation enthalpy at 0 K: 0.598 eV per atom
data_TaMoAu2
_chemical_formula_sum 'Ta4 Mo4 Au8'
_space_group_name_H-M_alt 'I -4 2 d'
_space_group_IT_number 122
_space_group_name_Hall 'I -4 2bw'
_cell_length_a 7.471
_cell_length_b 7.471
_cell_length_c 5.364
_cell_angle_alpha 90.00
_cell_angle_beta 90.00
_cell_angle_gamma 90.00
loop_
_atom_site_label
_atom_site_fract_x
_atom_site_fract_y
_atom_site_fract_z
Ta1 0.000 0.000 0.000
Mo1 0.000 0.000 0.500
Au1 0.249 0.250 0.625

---

# Li6Tm (PBE, relaxed)
# formation enthalpy at 0 K: 0.414 eV per atom
data_Li6Tm
_chemical_formula_sum 'Li12 Tm2'
_space_group_name_H-M_alt 'I m -3 m'
_space_group_IT_number 229
_space_group_name_Hall '-I 4 2 3'
_cell_length_a 6.786
_cell_length_b 6.786
_cell_length_c 6.786
_cell_angle_alpha 90.00
_cell_angle_beta 90.00
_cell_angle_gamma 90.00
loop_
_atom_site_label
_atom_site_fract_x
_atom_site_fract_y
_atom_site_fract_z
Li1 0.000 0.250 0.500
Tm1 0.000 0.000 0.000

---

# Co2CuTc (PBE, relaxed)
# relative energy among the computed polymorphs: 80 meV/atom
# formation enthalpy at 0 K: 0.205 eV per atom
data_Co2CuTc
_chemical_formula_sum 'Co4 Cu2 Tc2'
_space_group_name_H-M_alt 'I -4 m 2'
_space_group_IT_number 119
_space_group_name_Hall 'I -4 -2'
_cell_length_a 3.529
_cell_length_b 3.529
_cell_length_c 7.565
_cell_angle_alpha 90.00
_cell_angle_beta 90.00
_cell_angle_gamma 90.00
loop_
_atom_site_label
_atom_site_fract_x
_atom_site_fract_y
_atom_site_fract_z
Co1 0.000 0.000 0.000
Co2 0.000 0.500 0.250
Cu1 0.000 0.000 0.500
Tc1 0.000 0.500 0.750

---

# BePRuO2 (PBE, relaxed)
# relative energy among the computed polymorphs: 147 meV/atom
# energy relative to the elements, uncorrected: -0.09 eV per atom
data_BePRuO2
_chemical_formula_sum 'Be1 P1 Ru1 O2'
_space_group_name_H-M_alt 'P 4/m m m'
_space_group_IT_number 123
_space_group_name_Hall '-P 4 2'
_cell_length_a 3.675
_cell_length_b 3.675
_cell_length_c 5.330
_cell_angle_alpha 90.00
_cell_angle_beta 90.00
_cell_angle_gamma 90.00
loop_
_atom_site_label
_atom_site_fract_x
_atom_site_fract_y
_atom_site_fract_z
Be1 0.000 0.000 0.000
P1 0.500 0.500 0.000
Ru1 0.500 0.500 0.500
O1 0.000 0.500 0.500

---

# Pm3Ge2Os (PBE, relaxed)
# formation enthalpy at 0 K: -0.607 eV per atom
data_Pm3Ge2Os
_chemical_formula_sum 'Pm12 Ge8 Os4'
_space_group_name_H-M_alt 'P n m a'
_space_group_IT_number 62
_cell_length_a 12.083
_cell_length_b 4.281
_cell_length_c 11.551
_cell_angle_alpha 90.00
_cell_angle_beta 90.00
_cell_angle_gamma 90.00
loop_
_space_group_symop_operation_xyz
'x,y,z'
'-x,-y,-z'
'-x+1/2,-y,z+1/2'
'x+1/2,y,-z+1/2'
'x+1/2,-y+1/2,-z+1/2'
'-x+1/2,y+1/2,z+1/2'
'-x,y+1/2,-z'
'x,-y+1/2,z'
loop_
_atom_site_label
_atom_site_fract_x
_atom_site_fract_y
_atom_site_fract_z
Pm1 0.056 0.250 0.127
Pm2 0.119 0.750 0.556
Pm3 0.223 0.250 0.797
Ge1 0.017 0.750 0.311
Ge2 0.193 0.750 0.996
Os1 0.129 0.250 0.371

---

# EuYAlCu (PBE, relaxed)
# formation enthalpy at 0 K: -0.180 eV per atom
data_EuYAlCu
_chemical_formula_sum 'Eu4 Y4 Al4 Cu4'
_space_group_name_H-M_alt 'F -4 3 m'
_space_group_IT_number 216
_space_group_name_Hall 'F -4 2 3'
_cell_length_a 7.282
_cell_length_b 7.282
_cell_length_c 7.282
_cell_angle_alpha 90.00
_cell_angle_beta 90.00
_cell_angle_gamma 90.00
loop_
_atom_site_label
_atom_site_fract_x
_atom_site_fract_y
_atom_site_fract_z
Eu1 0.000 0.000 0.000
Y1 0.000 0.000 0.500
Al1 0.250 0.250 0.250
Cu1 0.250 0.250 0.750